First-principles (PBE-GGA) data for an optimized crystal structure of ErBe4Ir, as listed in Alexandria via LeMat-Bulk.

Unit cell a=4.644 b=4.644 c=4.644 alpha=60.00 beta=60.00 gamma=60.00
Element x y z (fractional)
Be  0.628  0.628  0.117
Be  0.628  0.117  0.628
Be  0.628  0.628  0.628
Be  0.117  0.628  0.628
Ir  0.000  0.000  0.000
Er  0.250  0.250  0.250

Calculated values
The formation energy is -2.55 eV per formula unit. The space group is No. 216. As for the total energy: -30.874 eV per cell.

First-principles (PBE-GGA) data for an optimized crystal structure of LiAc2MgSn6, as listed in Alexandria via LeMat-Bulk.

Unit cell a=7.682 b=7.365 c=10.148 alpha=90.00 beta=90.00 gamma=90.00
Element x y z (fractional)
Li  0.500  0.083  0.500
Li  0.000  0.917  0.000
Ac  0.500  0.724  0.267
Ac  0.000  0.276  0.767
Ac  0.500  0.724  0.733
Ac  0.000  0.276  0.233
Mg  0.000  0.610  0.500
Mg  0.500  0.390  0.000
Sn  0.500  0.211  0.251
Sn  0.500  0.211  0.749
Sn  0.000  0.789  0.249
Sn  0.000  0.789  0.751
Sn  0.192  0.967  0.500
Sn  0.808  0.967  0.500
Sn  0.302  0.400  0.500
Sn  0.698  0.400  0.500
Sn  0.802  0.600  0.000
Sn  0.198  0.600  0.000
Sn  0.308  0.033  0.000
Sn  0.692  0.033  0.000

Calculated values
The formation energy is -3.26 eV per formula unit. The space group is No. 59. The value obtained for the density of states at the Fermi level is 9.4 states/eV per cell. As for the total energy: -77.997 eV per cell.

First-principles (PBE-GGA) data for an optimized crystal structure of La6Nd2Hg, as listed in Alexandria via LeMat-Bulk.

Unit cell a=5.588 b=10.626 c=10.634 alpha=90.00 beta=89.98 gamma=90.00
Element x y z (fractional)
La  0.000  0.041  0.184
La  0.000  0.684  0.543
La  0.000  0.626  0.875
La  0.500  0.126  0.625
La  0.500  0.184  0.957
La  0.500  0.541  0.316
La  0.000  0.959  0.816
La  0.000  0.316  0.457
La  0.000  0.374  0.125
La  0.500  0.874  0.375
La  0.500  0.816  0.043
La  0.500  0.459  0.684
Nd  0.000  0.284  0.782
Nd  0.500  0.784  0.718
Nd  0.500  0.216  0.282
Nd  0.000  0.716  0.218
Hg  0.500  0.500  0.000
Hg  0.000  0.000  0.500

Calculated values
The formation energy is -0.56 eV per formula unit. The space group is No. 58. The value obtained for the density of states at the Fermi level is 29.4 states/eV per cell. As for the total energy: -79.921 eV per cell.

First-principles (PBE-GGA) data for an optimized crystal structure of Rb2ZnSnI6, as listed in Alexandria via LeMat-Bulk.

Unit cell a=8.484 b=8.484 c=8.487 alpha=60.01 beta=60.01 gamma=90.00
Element x y z (fractional)
I  0.260  0.260  0.479
I  0.740  0.740  0.521
I  0.260  0.260  0.000
I  0.740  0.740  0.000
I  0.740  0.260  0.000
I  0.260  0.740  0.000
Zn  0.500  0.500  0.000
Sn  0.000  0.000  0.000
Rb  0.750  0.250  0.500
Rb  0.250  0.750  0.500

Calculated values
The uncorrected formation energy comes out at -843 meV per atom. The space group is No. 225. The value obtained for the density of states at the Fermi level is 0.0 states/eV per cell. As for the total energy: -24.945 eV per cell.

First-principles (PBE-GGA) data for an optimized crystal structure of EuTlGa, as listed in Alexandria via LeMat-Bulk.

Unit cell a=3.827 b=4.929 c=4.929 alpha=120.00 beta=90.00 gamma=90.00
Site moments in Bohr magnetons follow the coordinates.
Element x y z (fractional)
Eu  0.676  0.667  0.333  6.88
Tl  0.216  0.333  0.667  0.01
Ga  0.108  0.000  0.000  0.00

Calculated values
The formation energy is -1.06 eV per formula unit. The space group is No. 156. The value obtained for the density of states at the Fermi level is 6.2 states/eV per cell. As for the total energy: -16.730 eV per cell.

First-principles (PBE-GGA) data for an optimized crystal structure of Rb2LiZnH5, as listed in Alexandria via LeMat-Bulk.

Unit cell a=3.927 b=7.879 c=9.977 alpha=90.00 beta=90.00 gamma=104.43
Element x y z (fractional)
Rb  0.849  0.697  0.804
Rb  0.082  0.164  0.656
Rb  0.151  0.303  0.304
Rb  0.918  0.836  0.156
Li  0.817  0.634  0.466
Li  0.183  0.366  0.966
Zn  0.564  0.127  0.970
Zn  0.436  0.873  0.470
H  0.289  0.578  0.041
H  0.659  0.319  0.878
H  0.464  0.928  0.910
H  0.424  0.849  0.635
H  0.934  0.867  0.463
H  0.711  0.422  0.541
H  0.341  0.681  0.378
H  0.536  0.072  0.410
H  0.576  0.151  0.135
H  0.066  0.133  0.963

Calculated values
The space group is No. 36. The value obtained for the density of states at the Fermi level is 0.0 states/eV per cell. As for the total energy: -46.528 eV per cell.

First-principles (PBE-GGA) data for an optimized crystal structure of Hf3AgOs, as listed in Alexandria via LeMat-Bulk.

Unit cell a=5.011 b=5.011 c=5.011 alpha=90.00 beta=90.00 gamma=90.00
Element x y z (fractional)
Hf  0.000  0.500  0.000
Hf  0.000  0.000  0.500
Hf  0.500  0.000  0.000
Os  0.000  0.000  0.000
Ag  0.500  0.500  0.500

Calculated values
The formation energy is 2.33 eV per formula unit. The space group is No. 221. The value obtained for the density of states at the Fermi level is 8.8 states/eV per cell. As for the total energy: -41.610 eV per cell.

First-principles (PBE-GGA) data for an optimized crystal structure of DyNp2Ir9, as listed in Alexandria via LeMat-Bulk.

Unit cell a=5.283 b=5.283 c=9.295 alpha=73.49 beta=73.49 gamma=60.00
Site moments in Bohr magnetons follow the coordinates.
Element x y z (fractional)
Dy  0.000  0.000  0.000  0.10
Np  0.860  0.860  0.421  3.36
Np  0.140  0.140  0.579  3.36
Ir  0.667  0.667  0.999  -0.10
Ir  0.333  0.333  0.001  -0.10
Ir  0.500  0.500  0.500  -0.26
Ir  0.416  0.416  0.250  -0.19
Ir  0.919  0.416  0.250  -0.19
Ir  0.416  0.919  0.250  -0.19
Ir  0.584  0.584  0.750  -0.19
Ir  0.584  0.081  0.750  -0.19
Ir  0.081  0.584  0.750  -0.19

Calculated values
The formation energy is -4.86 eV per formula unit. The space group is No. 166. The value obtained for the density of states at the Fermi level is 20.4 states/eV per cell. As for the total energy: -115.097 eV per cell.

First-principles (PBE-GGA) data for an optimized crystal structure of Ba3TmPb12, as listed in Alexandria via LeMat-Bulk.

Unit cell a=5.086 b=5.086 c=20.178 alpha=90.00 beta=90.00 gamma=90.00
Element x y z (fractional)
Ba  0.000  0.000  0.241
Ba  0.000  0.000  0.500
Ba  0.000  0.000  0.759
Tm  0.000  0.000  0.000
Pb  0.500  0.500  0.000
Pb  0.500  0.500  0.248
Pb  0.500  0.500  0.500
Pb  0.500  0.500  0.752
Pb  0.500  0.000  0.113
Pb  0.500  0.000  0.372
Pb  0.500  0.000  0.628
Pb  0.500  0.000  0.887
Pb  0.000  0.500  0.113
Pb  0.000  0.500  0.372
Pb  0.000  0.500  0.628
Pb  0.000  0.500  0.887

Calculated values
The formation energy is -5.18 eV per formula unit. The space group is No. 123. The value obtained for the density of states at the Fermi level is 8.7 states/eV per cell. As for the total energy: -59.916 eV per cell.

First-principles (PBE-GGA) data for an optimized crystal structure of ZnCd7Hg12, as listed in Alexandria via LeMat-Bulk.

Unit cell a=8.102 b=8.883 c=8.883 alpha=68.82 beta=72.30 gamma=107.70
Element x y z (fractional)
Zn  0.000  0.000  0.000
Cd  0.787  0.119  0.187
Cd  0.025  0.813  0.306
Cd  0.332  0.306  0.881
Cd  0.500  0.000  0.000
Cd  0.668  0.694  0.119
Cd  0.975  0.187  0.694
Cd  0.213  0.881  0.813
Hg  0.918  0.492  0.205
Hg  0.877  0.795  0.697
Hg  0.601  0.360  0.060
Hg  0.339  0.940  0.420
Hg  0.574  0.697  0.508
Hg  0.758  0.420  0.640
Hg  0.242  0.580  0.360
Hg  0.426  0.303  0.492
Hg  0.661  0.060  0.580
Hg  0.399  0.640  0.940
Hg  0.123  0.205  0.303
Hg  0.082  0.508  0.795

Calculated values
The formation energy is 0.95 eV per formula unit. The space group is No. 148. The value obtained for the density of states at the Fermi level is 5.6 states/eV per cell. As for the total energy: -10.351 eV per cell.

First-principles (PBE-GGA) data for an optimized crystal structure of CaNpRhO6, as listed in Alexandria via LeMat-Bulk.

Unit cell a=5.231 b=5.231 c=10.611 alpha=90.00 beta=90.00 gamma=120.00
Element x y z (fractional)
Ca  0.000  0.000  0.000
Ca  0.000  0.000  0.500
Np  0.667  0.333  0.250
Np  0.333  0.667  0.750
Rh  0.333  0.667  0.250
Rh  0.667  0.333  0.750
O  0.648  0.648  0.142
O  0.000  0.352  0.142
O  0.352  0.000  0.642
O  0.000  0.648  0.858
O  0.352  0.352  0.358
O  0.000  0.648  0.358
O  0.648  0.000  0.858
O  0.648  0.000  0.358
O  0.000  0.352  0.642
O  0.352  0.000  0.142
O  0.648  0.648  0.642
O  0.352  0.352  0.858

Calculated values
The uncorrected formation energy comes out at -2228 meV per atom. The space group is No. 163. As for the total energy: -144.194 eV per cell.

First-principles (PBE-GGA) data for an optimized crystal structure of ZrCrAg2, as listed in Alexandria via LeMat-Bulk.

Unit cell a=3.113 b=3.113 c=7.671 alpha=90.00 beta=90.00 gamma=90.00
Site moments in Bohr magnetons follow the coordinates.
Element x y z (fractional)
Ag  0.000  0.000  0.022  0.05
Ag  0.000  0.000  0.478  0.05
Cr  0.500  0.500  0.250  3.57
Zr  0.500  0.500  0.750  -0.02

Calculated values
The formation energy is 1.14 eV per formula unit. The space group is No. 123. The value obtained for the density of states at the Fermi level is 3.4 states/eV per cell. As for the total energy: -22.736 eV per cell.

First-principles (PBE-GGA) data for an optimized crystal structure of NbZnO, as listed in Alexandria via LeMat-Bulk.

Unit cell a=3.172 b=3.172 c=7.662 alpha=90.00 beta=90.00 gamma=90.00
Element x y z (fractional)
Zn  0.000  0.000  0.000
Zn  0.500  0.500  0.000
O  0.000  0.500  0.609
O  0.500  0.000  0.391
Nb  0.000  0.500  0.314
Nb  0.500  0.000  0.686

Calculated values
The uncorrected formation energy comes out at -859 meV per atom. The space group is No. 129. The value obtained for the density of states at the Fermi level is 2.3 states/eV per cell. As for the total energy: -37.755 eV per cell.

First-principles (PBE-GGA) data for an optimized crystal structure of AlTe2W, as listed in Alexandria via LeMat-Bulk.

Unit cell a=4.355 b=2.911 c=7.816 alpha=109.77 beta=90.00 gamma=90.00
Element x y z (fractional)
Te  0.000  0.852  0.023
Te  0.000  0.648  0.477
Al  0.500  0.750  0.750
W  0.500  0.250  0.250

Calculated values
The uncorrected formation energy comes out at 647 meV per atom. The space group is No. 10. The value obtained for the density of states at the Fermi level is 2.0 states/eV per cell. As for the total energy: -20.389 eV per cell.

First-principles (PBE-GGA) data for an optimized crystal structure of KNpInCl6, as listed in Alexandria via LeMat-Bulk.

Unit cell a=6.984 b=6.984 c=13.552 alpha=90.00 beta=90.00 gamma=90.00
Site moments in Bohr magnetons follow the coordinates.
Element x y z (fractional)
K  0.500  0.500  0.169  0.00
K  0.000  0.000  0.669  0.00
Np  0.500  0.500  0.834  3.15
Np  0.000  0.000  0.334  3.15
In  0.500  0.500  0.501  -0.01
In  0.000  0.000  0.001  -0.01
Cl  0.183  0.817  0.474  -0.03
Cl  0.817  0.183  0.474  -0.03
Cl  0.317  0.317  0.974  -0.03
Cl  0.683  0.683  0.974  -0.03
Cl  0.180  0.820  0.190  -0.03
Cl  0.820  0.180  0.190  -0.03
Cl  0.320  0.320  0.690  -0.03
Cl  0.680  0.680  0.690  -0.03
Cl  0.765  0.235  0.834  -0.03
Cl  0.235  0.765  0.834  -0.03
Cl  0.735  0.735  0.334  -0.03
Cl  0.265  0.265  0.334  -0.03

Calculated values
The uncorrected formation energy comes out at -1573 meV per atom. The space group is No. 102. The value obtained for the density of states at the Fermi level is 7.8 states/eV per cell. As for the total energy: -84.021 eV per cell.

First-principles (PBE-GGA) data for an optimized crystal structure of Ac3Si2Au7, as listed in Alexandria via LeMat-Bulk.

Unit cell a=4.645 b=4.645 c=14.493 alpha=99.22 beta=99.22 gamma=90.00
Element x y z (fractional)
Ac  0.301  0.301  0.602
Ac  0.699  0.699  0.398
Ac  0.500  0.500  0.000
Si  0.084  0.084  0.168
Si  0.916  0.916  0.832
Au  0.000  0.000  0.000
Au  0.888  0.388  0.775
Au  0.388  0.888  0.775
Au  0.112  0.612  0.225
Au  0.612  0.112  0.225
Au  0.187  0.187  0.375
Au  0.813  0.813  0.625

Calculated values
The uncorrected formation energy comes out at -554 meV per atom. The space group is No. 139. The value obtained for the density of states at the Fermi level is 7.0 states/eV per cell. As for the total energy: -52.759 eV per cell.

First-principles (PBE-GGA) data for an optimized crystal structure of CoSeBr2, as listed in Alexandria via LeMat-Bulk.

Unit cell a=9.050 b=9.050 c=9.050 alpha=22.22 beta=22.22 gamma=22.22
Element x y z (fractional)
Br  0.017  0.017  0.017
Br  0.213  0.213  0.213
Co  0.490  0.490  0.490
Se  0.779  0.779  0.779

Calculated values
The uncorrected formation energy comes out at -126 meV per atom. The space group is No. 160. The value obtained for the density of states at the Fermi level is 2.6 states/eV per cell. As for the total energy: -14.442 eV per cell.

First-principles (PBE-GGA) data for an optimized crystal structure of ZnOsPt, as listed in Alexandria via LeMat-Bulk.

Unit cell a=4.790 b=4.790 c=4.790 alpha=147.33 beta=131.47 gamma=59.73
Element x y z (fractional)
Os  0.002  0.002  0.000
Pt  0.332  0.332  0.000
Zn  0.666  0.666  0.000

Calculated values
The formation energy is 0.55 eV per formula unit. The space group is No. 44. The value obtained for the density of states at the Fermi level is 4.3 states/eV per cell. As for the total energy: -17.990 eV per cell.